Computed, not measured: a relaxed Tb2HoMn crystal at the PBE level of DFT.

Output
E = -5.239 eV/atom
Polymorph energy (0 for the lowest one) = 379 meV per atom
Total moment = 0.78 μB/atom
SG = R-3m
ΔH_f (0 K) = 0.5128 eV per atom

POSCAR file:
```
Tb2HoMn
1.0
3.393 0.000 0.000
1.696 2.938 0.000
1.696 0.979 11.322
Tb Mn Ho
2 1 1
Direct
0.918 0.918 0.245
0.082 0.082 0.755
0.000 0.000 0.000
0.500 0.500 0.500
```

***

Computed, not measured: a relaxed Tb2HoMn crystal at the PBE level of DFT.

Output
E = -5.618 eV/atom
Polymorph energy (0 for the lowest one) = 0 meV per atom
Total moment = 0.95 μB/atom
SG = P4/mmm
ΔH_f (0 K) = 0.1340 eV per atom

POSCAR file:
```
Tb2HoMn
1.0
3.550 0.000 0.000
0.000 3.550 0.000
0.000 0.000 8.611
Tb Mn Ho
2 1 1
Direct
0.000 0.000 0.203
0.000 0.000 0.797
0.500 0.500 0.000
0.500 0.500 0.500
```

***

Computed, not measured: a relaxed TbHoMnTc crystal at the PBE level of DFT.

Output
E = -7.055 eV/atom
Total moment = 0.96 μB/atom
SG = F-43m
ΔH_f (0 K) = 0.1308 eV per atom

POSCAR file:
```
TbHoMnTc
1.0
4.919 0.000 0.000
2.460 4.260 0.000
2.460 1.420 4.017
Ho Mn Tc Tb
1 1 1 1
Direct
0.500 0.500 0.500
0.750 0.750 0.750
0.250 0.250 0.250
0.000 0.000 0.000
```

***

Computed, not measured: a relaxed TbHoMnTl crystal at the PBE level of DFT.

Output
E = -5.203 eV/atom
Total moment = 0.84 μB/atom
SG = F-43m
ΔH_f (0 K) = -0.0168 eV per atom

POSCAR file:
```
TbHoMnTl
1.0
-0.660 -5.040 -1.164
4.084 -3.243 0.045
0.417 -3.615 3.735
Tb Tl Ho Mn
1 1 1 1
Direct
0.250 0.250 0.250
0.000 0.000 0.000
0.750 0.750 0.750
0.500 0.500 0.500
```

***

Computed, not measured: a relaxed TbHoMnZn crystal at the PBE level of DFT.

Output
E = -4.960 eV/atom
Total moment = 0.73 μB/atom
SG = F-43m
ΔH_f (0 K) = -0.0469 eV per atom

POSCAR file:
```
TbHoMnZn
1.0
5.008 0.000 0.000
2.504 4.337 0.000
2.504 1.446 4.089
Zn Tb Mn Ho
1 1 1 1
Direct
0.000 0.000 0.000
0.250 0.250 0.250
0.500 0.500 0.500
0.750 0.750 0.750
```

***

Computed, not measured: a relaxed Ho2Mn16Tc crystal at the PBE level of DFT.

Output
E = -8.755 eV/atom
Total moment = 0.27 μB/atom
SG = R3m
ΔH_f (0 K) = -0.0055 eV per atom

POSCAR file:
```
Ho2Mn16Tc
1.0
-5.049 -3.819 -0.394
0.639 -2.157 5.930
-3.972 4.299 2.443
Mn Ho Tc
16 2 1
Direct
0.723 0.002 0.279
0.103 0.103 0.103
0.356 0.877 0.356
0.356 0.356 0.877
0.640 0.126 0.640
0.279 0.723 0.002
0.500 0.999 0.999
0.999 0.500 0.999
0.279 0.002 0.723
0.877 0.356 0.356
0.640 0.640 0.126
0.999 0.999 0.500
0.126 0.640 0.640
0.723 0.279 0.002
0.002 0.723 0.279
0.002 0.279 0.723
0.355 0.355 0.355
0.644 0.644 0.644
0.899 0.899 0.899
```

***

Computed, not measured: a relaxed Ho2MnTc3 crystal at the PBE level of DFT.

Output
E = -8.402 eV/atom
Total moment = 0.48 μB/atom
SG = R-3m
ΔH_f (0 K) = -0.1651 eV per atom

POSCAR file:
```
Ho2MnTc3
1.0
-5.263 -0.273 0.005
2.836 -3.814 2.277
2.447 3.720 3.175
Tc Mn Ho
3 1 2
Direct
0.500 0.500 0.500
0.000 0.000 0.500
0.500 0.000 0.500
0.000 0.000 0.000
0.246 0.623 0.869
0.754 0.377 0.131
```

***

Computed, not measured: a relaxed HoMn6Tc2 crystal at the PBE level of DFT.

Output
E = -8.590 eV/atom
Total moment = 0.11 μB/atom
SG = Immm
ΔH_f (0 K) = 0.3351 eV per atom

POSCAR file:
```
HoMn6Tc2
1.0
0.184 -0.834 -2.651
5.741 -3.041 1.355
-6.257 -3.604 2.168
Mn Tc Ho
6 2 1
Direct
0.313 0.632 0.626
0.313 0.994 0.626
0.500 0.345 0.000
0.687 0.006 0.374
0.500 0.655 0.000
0.687 0.368 0.374
0.857 0.357 0.714
0.143 0.643 0.286
0.000 0.000 0.000
```

***

Computed, not measured: a relaxed HoThMnTc crystal at the PBE level of DFT.

Output
E = -7.821 eV/atom
Total moment = 0.80 μB/atom
SG = F-43m
ΔH_f (0 K) = 0.0620 eV per atom

POSCAR file:
```
HoThMnTc
1.0
-0.300 4.213 2.616
-0.279 -0.169 4.957
3.854 1.492 2.757
Th Ho Tc Mn
1 1 1 1
Direct
0.250 0.250 0.250
0.750 0.750 0.750
0.500 0.500 0.500
0.000 0.000 0.000
```

***

Computed, not measured: a relaxed HoZrMnTc crystal at the PBE level of DFT.

Output
E = -8.160 eV/atom
Total moment = 0.70 μB/atom
SG = F-43m
ΔH_f (0 K) = 0.0054 eV per atom

POSCAR file:
```
HoZrMnTc
1.0
-3.678 0.822 2.913
-2.400 -3.653 1.895
0.388 -0.948 4.652
Ho Mn Tc Zr
1 1 1 1
Direct
0.750 0.750 0.750
0.000 0.000 0.000
0.500 0.500 0.500
0.250 0.250 0.250
```

***

Computed, not measured: a relaxed Ho2MnTe crystal at the PBE level of DFT.

Output
E = -5.199 eV/atom
Total moment = 0.70 μB/atom
SG = R-3m
Raw formation energy = 0.168 eV/atom

POSCAR file:
```
Ho2MnTe
1.0
-1.637 1.701 2.924
0.084 -1.606 3.397
7.888 4.690 4.101
Te Mn Ho
1 1 2
Direct
0.500 0.500 0.500
0.000 0.000 0.000
0.905 0.905 0.284
0.095 0.095 0.716
```

***

Computed, not measured: a relaxed Ho6MnTe2 crystal at the PBE level of DFT.

Output
E = -5.355 eV/atom
Total moment = 0.09 μB/atom
SG = P-62m
Raw formation energy = -0.586 eV/atom

POSCAR file:
```
Ho6MnTe2
1.0
-0.093 4.058 -0.290
-6.719 0.190 4.803
7.520 0.415 3.399
Ho Te Mn
6 2 1
Direct
0.500 0.000 0.606
0.000 0.763 0.763
0.500 0.606 0.000
0.000 0.237 0.000
0.500 0.394 0.394
0.000 0.000 0.237
0.000 0.667 0.333
0.000 0.333 0.667
0.500 0.000 0.000
```

***

Computed, not measured: a relaxed HoMnTe crystal at the PBE level of DFT.

Output
E = -5.978 eV/atom
Total moment = 0.00 μB/atom
SG = R-3m
Raw formation energy = -0.348 eV/atom

POSCAR file:
```
HoMnTe
1.0
-0.800 3.353 -1.463
0.515 0.618 -3.658
-12.105 -2.565 -4.055
Ho Mn Te
2 2 2
Direct
0.444 0.444 0.668
0.556 0.556 0.332
0.834 0.834 0.498
0.166 0.166 0.502
0.282 0.282 0.155
0.718 0.718 0.845
```

***

Computed, not measured: a relaxed Ho2MnTl3Te6 crystal at the PBE level of DFT.

Output
E = -4.423 eV/atom
Total moment = 0.35 μB/atom
SG = C2/m
Raw formation energy = -0.733 eV/atom

POSCAR file:
```
Ho2MnTl3Te6
1.0
7.550 0.003 -0.004
-3.771 6.541 -0.004
-1.265 -2.190 8.002
Ho Mn Te Tl
2 1 6 3
Direct
0.664 0.336 0.000
0.336 0.664 0.000
0.000 0.000 0.000
0.756 0.756 0.215
0.244 0.244 0.785
0.066 0.381 0.204
0.934 0.619 0.796
0.619 0.934 0.796
0.381 0.066 0.204
0.178 0.822 0.500
0.822 0.178 0.500
0.500 0.500 0.500
```

***

Computed, not measured: a relaxed Ho2ThMn crystal at the PBE level of DFT.

Output
E = -6.298 eV/atom
Total moment = 0.77 μB/atom
SG = P4/mmm
ΔH_f (0 K) = 0.1379 eV per atom

POSCAR file:
```
Ho2ThMn
1.0
3.481 0.000 0.000
0.000 3.481 0.000
0.000 0.000 8.799
Ho Mn Th
2 1 1
Direct
0.000 0.000 0.798
0.000 0.000 0.202
0.500 0.500 0.000
0.500 0.500 0.500
```

***

Computed, not measured: a relaxed HoThMn17 crystal at the PBE level of DFT.

Output
E = -8.835 eV/atom
Total moment = 0.27 μB/atom
SG = R3m
ΔH_f (0 K) = 0.0009 eV per atom

POSCAR file:
```
HoThMn17
1.0
6.317 -0.147 0.581
0.517 6.298 0.581
-0.163 -0.147 6.342
Mn Ho Th
17 1 1
Direct
0.356 0.876 0.356
0.099 0.099 0.099
0.876 0.356 0.356
0.997 0.500 0.997
0.646 0.126 0.646
0.356 0.356 0.876
0.126 0.646 0.646
0.727 0.999 0.273
0.727 0.273 0.999
0.901 0.901 0.901
0.500 0.997 0.997
0.646 0.646 0.126
0.273 0.999 0.727
0.997 0.997 0.500
0.999 0.273 0.727
0.273 0.727 0.999
0.999 0.727 0.273
0.648 0.648 0.648
0.355 0.355 0.355
```

***

Computed, not measured: a relaxed HoTh2Mn crystal at the PBE level of DFT.

Output
E = -6.990 eV/atom
Total moment = 0.77 μB/atom
SG = P4/mmm
ΔH_f (0 K) = 0.1567 eV per atom

POSCAR file:
```
HoTh2Mn
1.0
-2.466 2.506 0.591
-1.870 -2.306 1.975
4.268 2.545 7.013
Mn Th Ho
1 2 1
Direct
0.500 0.500 0.000
0.000 0.000 0.793
0.000 0.000 0.207
0.500 0.500 0.500
```

***

Computed, not measured: a relaxed HoThMn2 crystal at the PBE level of DFT.

Output
E = -7.395 eV/atom
Total moment = 1.43 μB/atom
SG = P4/mmm
ΔH_f (0 K) = 0.1889 eV per atom

POSCAR file:
```
HoThMn2
1.0
3.599 0.000 0.000
0.000 4.959 0.000
0.000 0.000 4.959
Th Ho Mn
1 1 2
Direct
0.500 0.000 0.000
0.500 0.500 0.500
0.000 0.000 0.500
0.000 0.500 0.000
```

***

Computed, not measured: a relaxed HoThMn crystal at the PBE level of DFT.

Output
E = -6.862 eV/atom
Polymorph energy (0 for the lowest one) = 58 meV per atom
Total moment = 0.92 μB/atom
SG = I4mm
ΔH_f (0 K) = 0.1936 eV per atom

POSCAR file:
```
HoThMn
1.0
3.564 0.000 0.000
0.000 3.564 0.000
-1.782 -1.782 5.979
Th Ho Mn
1 1 1
Direct
0.309 0.309 0.618
0.021 0.021 0.042
0.670 0.670 0.341
```

***

Computed, not measured: a relaxed HoThMn crystal at the PBE level of DFT.

Output
E = -6.920 eV/atom
Polymorph energy (0 for the lowest one) = 0 meV per atom
Total moment = 0.00 μB/atom
SG = P-1
ΔH_f (0 K) = 0.1354 eV per atom

POSCAR file:
```
HoThMn
1.0
6.115 -0.940 -0.580
-3.791 4.866 0.394
-1.575 -1.453 5.596
Th Ho Mn
2 2 2
Direct
0.247 0.083 0.326
0.753 0.917 0.674
0.107 0.685 0.792
0.893 0.315 0.208
0.486 0.378 0.862
0.514 0.622 0.138
```

***

Computed, not measured: a relaxed HoThMn2 crystal at the PBE level of DFT.

Output
E = -7.402 eV/atom
Total moment = 1.25 μB/atom
SG = P4/mmm
ΔH_f (0 K) = 0.1822 eV per atom

POSCAR file:
```
HoThMn2
1.0
3.576 0.000 0.000
0.000 3.576 0.000
0.000 0.000 6.859
Ho Th Mn
1 1 2
Direct
0.500 0.500 0.000
0.500 0.500 0.500
0.000 0.000 0.281
0.000 0.000 0.719
```

***

Computed, not measured: a relaxed HoMnTl crystal at the PBE level of DFT.

Output
E = -5.135 eV/atom
Total moment = 0.00 μB/atom
SG = C2/m
ΔH_f (0 K) = 0.2359 eV per atom

POSCAR file:
```
HoMnTl
1.0
-1.864 1.960 1.968
3.783 -2.773 3.502
6.076 4.640 1.135
Ho Tl Mn
2 2 2
Direct
0.831 0.663 0.156
0.169 0.337 0.844
0.931 0.861 0.708
0.069 0.139 0.292
0.688 0.377 0.525
0.312 0.623 0.475
```

***

Computed, not measured: a relaxed Ho2MnTl crystal at the PBE level of DFT.

Output
E = -5.189 eV/atom
Polymorph energy (0 for the lowest one) = 72 meV per atom
Total moment = 0.84 μB/atom
SG = Fm-3m
ΔH_f (0 K) = -0.0162 eV per atom

POSCAR file:
```
Ho2MnTl
1.0
5.192 0.000 0.000
2.596 4.497 0.000
2.596 1.499 4.240
Mn Ho Tl
1 2 1
Direct
0.500 0.500 0.500
0.250 0.250 0.250
0.750 0.750 0.750
0.000 0.000 0.000
```

***

Computed, not measured: a relaxed Ho2MnTl crystal at the PBE level of DFT.

Output
E = -5.261 eV/atom
Polymorph energy (0 for the lowest one) = 0 meV per atom
Total moment = 0.80 μB/atom
SG = P4/mmm
ΔH_f (0 K) = -0.0883 eV per atom

POSCAR file:
```
Ho2MnTl
1.0
-2.462 -2.616 0.491
1.900 -1.259 2.819
-3.855 4.494 4.607
Tl Ho Mn
1 2 1
Direct
0.500 0.500 0.500
0.000 0.000 0.228
0.000 0.000 0.772
0.500 0.500 0.000
```

***

Computed, not measured: a relaxed YHoMnTl crystal at the PBE level of DFT.

Output
E = -5.671 eV/atom
Total moment = 0.85 μB/atom
SG = F-43m
ΔH_f (0 K) = -0.0269 eV per atom

POSCAR file:
```
YHoMnTl
1.0
-4.232 0.425 3.015
-4.647 -1.536 -1.798
-2.261 -4.280 1.938
Tl Ho Mn Y
1 1 1 1
Direct
0.000 0.000 0.000
0.750 0.750 0.750
0.500 0.500 0.500
0.250 0.250 0.250
```

***

Computed, not measured: a relaxed HoTmMn2 crystal at the PBE level of DFT.

Output
E = -6.668 eV/atom
Polymorph energy (0 for the lowest one) = 5 meV per atom
Total moment = 1.61 μB/atom
SG = P4/mmm
ΔH_f (0 K) = 0.1789 eV per atom

POSCAR file:
```
HoTmMn2
1.0
-3.453 -0.856 -0.135
0.019 -0.840 4.818
-1.190 4.672 0.819
Mn Ho Tm
2 1 1
Direct
0.000 0.500 0.000
0.000 0.000 0.500
0.500 0.500 0.500
0.500 0.000 0.000
```

***

Computed, not measured: a relaxed HoTmMn crystal at the PBE level of DFT.

Output
E = -5.921 eV/atom
Polymorph energy (0 for the lowest one) = 27 meV per atom
Total moment = 0.00 μB/atom
SG = Pnma
ΔH_f (0 K) = 0.1520 eV per atom

POSCAR file:
```
HoTmMn
1.0
-1.400 -0.772 3.447
3.218 -5.743 0.020
9.520 5.351 5.063
Ho Tm Mn
4 4 4
Direct
0.750 0.159 0.572
0.250 0.659 0.928
0.250 0.841 0.428
0.750 0.341 0.072
0.250 0.166 0.816
0.750 0.834 0.184
0.750 0.666 0.684
0.250 0.334 0.316
0.250 0.444 0.530
0.250 0.056 0.030
0.750 0.556 0.470
0.750 0.944 0.970
```